# BaTeBr2 GGA-PBEsol relaxed
# Energy above the most stable polymorph in this dataset (eV per formula unit): 0.000
# Total magnetization (μB per formula unit): 0.00
# DFT total energy (eV per cell): -14.76
# Volume (A^3/atom): 34.4
# Raw formation energy (eV/atom): -1.336
data_BaTeBr2
_chemical_formula_sum 'Ba1 Te1 Br2'
_space_group_name_H-M_alt 'P 1'
_space_group_IT_number 1
_space_group_name_Hall 'P 1'
_cell_length_a 4.7037
_cell_length_b 5.4424
_cell_length_c 5.8982
_cell_angle_alpha 95.90
_cell_angle_beta 113.50
_cell_angle_gamma 90.00
loop_
_atom_site_label
_atom_site_fract_x
_atom_site_fract_y
_atom_site_fract_z
Te1 0.0000 0.5000 0.0000
Ba1 0.5000 0.0000 0.0000
Br1 0.1981 0.2216 0.3961
Br2 0.8019 0.7784 0.6039